# Tb3Pm8Sc2

An optimized crystal structure of Tb3Pm8Sc2 (PBE, Alexandria via LeMat-Bulk).

Structure (POSCAR):
```
Tb3Pm8Sc2
1.0
6.350 0.447 2.347
2.427 8.071 4.372
1.096 0.483 9.418
Tb Pm Sc
3 8 2
Direct
0.500 0.000 0.000
0.000 0.169 0.831
0.000 0.831 0.169
0.021 0.597 0.597
0.979 0.403 0.403
0.013 0.190 0.190
0.987 0.810 0.810
0.549 0.558 0.197
0.549 0.197 0.558
0.451 0.803 0.442
0.451 0.442 0.803
0.529 0.195 0.195
0.471 0.805 0.805
```

Calculated values
Mass density = 6.47 Mg/m³
Symmetry = C2/m
Formation enthalpy at 0 K = 21.27 kJ per mole of atoms